No. 1
First-principles (PBE-GGA) data for an optimized crystal structure of SrCaBiPd, as listed in the Alexandria database.

Unit cell a=5.442 b=5.442 c=5.442 alpha=60.00 beta=60.00 gamma=60.00
Sites, in units of the cell vectors:
Sr 0.000 0.000 0.000
Ca 0.500 0.500 0.500
Bi 0.250 0.250 0.250
Pd 0.750 0.750 0.750

Values from the calculation:
The density of states at the Fermi level is 1.56 states/eV/cell. The value obtained for the calculated formation energy is -0.663 eV/atom.

=====

No. 2
First-principles (PBE-GGA) data for an optimized crystal structure of KLaCo, as listed in the Alexandria database.

Unit cell a=7.541 b=7.541 c=7.541 alpha=151.27 beta=151.27 gamma=41.08
Sites, in units of the cell vectors:
K 0.000 0.000 0.000
La 0.748 0.748 0.000
Co 0.278 0.278 0.000

Values from the calculation:
The density of states at the Fermi level is 2.34 states/eV/cell. The value obtained for the calculated formation energy is 0.351 eV/atom. The calculation puts the offset from the most stable computed form at 0.0000 eV per atom.

=====

No. 3
First-principles (PBE-GGA) data for an optimized crystal structure of Hg3GeF, as listed in the Alexandria database.

Unit cell a=5.001 b=5.001 c=5.001 alpha=90.00 beta=90.00 gamma=90.00
Sites, in units of the cell vectors:
Hg 0.000 0.000 0.500
Hg 0.000 0.500 0.000
Hg 0.500 0.000 0.000
Ge 0.500 0.500 0.500
F 0.000 0.000 0.000

Values from the calculation:
The density of states at the Fermi level is 2.53 states/eV/cell. The calculation puts the raw formation energy at 56.5 meV per atom. The calculation puts the offset from the most stable computed form at 0.2594 eV per atom.

=====

No. 4
First-principles (PBE-GGA) data for an optimized crystal structure of HfTiSe3, as listed in the Alexandria database.

Unit cell a=5.119 b=5.119 c=5.119 alpha=90.00 beta=90.00 gamma=90.00
Sites, in units of the cell vectors:
Hf 0.000 0.000 0.000
Ti 0.500 0.500 0.500
Se 0.000 0.000 0.500
Se 0.000 0.500 0.000
Se 0.500 0.000 0.000

Values from the calculation:
The density of states at the Fermi level is 7.81 states/eV/cell. The calculation puts the raw formation energy at -179.2 meV per atom. The calculation puts the offset from the most stable computed form at 0.9825 eV per atom.